(1)
Here is a geometry-optimized AlCdPd5 structure from Alexandria via LeMat-Bulk. Energies are from PBE-GGA.

## Properties
E, eV/atom: -4.792
Space group: P4/mmm
DFT formation energy, meV/atom: -417

The structure in CIF format:
```
data_AlCdPd5
_cell_length_a 4.0904
_cell_length_b 4.0904
_cell_length_c 6.9051
_cell_angle_alpha 90.00
_cell_angle_beta 90.00
_cell_angle_gamma 90.00
_symmetry_space_group_name_H-M 'P 1'
_symmetry_Int_Tables_number 1
loop_
_symmetry_equiv_pos_as_xyz
'x,y,z'
loop_
_atom_site_label
_atom_site_fract_x
_atom_site_fract_y
_atom_site_fract_z
Al1 0.5000 0.5000 0.0000
Pd1 0.5000 0.5000 0.5000
Pd2 0.0000 0.5000 0.7904
Pd3 0.5000 0.0000 0.7904
Cd1 0.0000 0.0000 0.5000
Pd4 0.0000 0.5000 0.2096
Pd5 0.5000 0.0000 0.2096
```



(2)
Here is a geometry-optimized LiTeOs2 structure from Alexandria via LeMat-Bulk. Energies are from PBE-GGA.

## Properties
Energy relative to the elements, uncorrected, kJ/mol of formula units: 376
E, eV/atom: -5.904
Space group: I-42d

The structure in CIF format:
```
data_LiTeOs2
_cell_length_a 7.6264
_cell_length_b 7.6264
_cell_length_c 5.9413
_cell_angle_alpha 50.07
_cell_angle_beta 50.07
_cell_angle_gamma 90.00
_symmetry_space_group_name_H-M 'P 1'
_symmetry_Int_Tables_number 1
loop_
_symmetry_equiv_pos_as_xyz
'x,y,z'
loop_
_atom_site_label
_atom_site_fract_x
_atom_site_fract_y
_atom_site_fract_z
Os1 0.8750 0.8998 0.7500
Os2 0.1002 0.6250 0.2500
Os3 0.3750 0.3502 0.7500
Li1 0.5000 0.5000 0.0000
Te1 0.0000 0.0000 0.0000
Os4 0.6498 0.1250 0.2500
Li2 0.2500 0.7500 0.5000
Te2 0.7500 0.2500 0.5000
```



(3)
Here is a geometry-optimized CeLuInIr structure from Alexandria via LeMat-Bulk. Energies are from PBE-GGA.

## Properties
E, eV/atom: -5.972
Space group: F-43m
DFT formation energy, meV/atom: -459

The structure in CIF format:
```
data_CeLuInIr
_cell_length_a 5.0852
_cell_length_b 5.0852
_cell_length_c 5.0852
_cell_angle_alpha 60.00
_cell_angle_beta 60.00
_cell_angle_gamma 60.00
_symmetry_space_group_name_H-M 'P 1'
_symmetry_Int_Tables_number 1
loop_
_symmetry_equiv_pos_as_xyz
'x,y,z'
loop_
_atom_site_label
_atom_site_fract_x
_atom_site_fract_y
_atom_site_fract_z
Ce1 0.5000 0.5000 0.5000
Ir1 0.2500 0.2500 0.2500
In1 0.7500 0.7500 0.7500
Lu1 0.0000 0.0000 0.0000
```



(4)
Here is a geometry-optimized Zn4Cd3Ag4 structure from Alexandria via LeMat-Bulk. Energies are from PBE-GGA.

## Properties
E, eV/atom: -1.658
Space group: Immm
DFT formation energy, meV/atom: 92

The structure in CIF format:
```
data_Zn4Cd3Ag4
_cell_length_a 4.2761
_cell_length_b 7.8202
_cell_length_c 7.8503
_cell_angle_alpha 119.87
_cell_angle_beta 105.80
_cell_angle_gamma 90.00
_symmetry_space_group_name_H-M 'P 1'
_symmetry_Int_Tables_number 1
loop_
_symmetry_equiv_pos_as_xyz
'x,y,z'
loop_
_atom_site_label
_atom_site_fract_x
_atom_site_fract_y
_atom_site_fract_z
Zn1 0.6846 0.5015 0.3692
Ag1 0.5000 0.8113 0.0000
Cd1 0.8863 0.8863 0.7726
Cd2 0.1137 0.1137 0.2274
Cd3 0.0000 0.5000 0.0000
Zn2 0.6846 0.8677 0.3692
Ag2 0.5000 0.1887 0.0000
Zn3 0.3154 0.4985 0.6308
Ag3 0.2336 0.7336 0.4671
Zn4 0.3154 0.1323 0.6308
Ag4 0.7664 0.2664 0.5329
```